First-principles (PBE) data for crystalline Rb2TiSi3O9 at its relaxed geometry, as listed in the Alexandria database.

Cell lengths 7.0013, 7.0013, 10.1024 Å; angles 90.00, 90.00, 120.00 degrees
Space group P6_3/m (No. 176)
One atom of each set of equivalent atoms:
Rb (0.3333, 0.6667, 0.0600) x4
Ti (0.0000, 0.0000, 0.0000) x2
Si (0.1406, 0.3789, 0.7500) x6
O (0.0399, 0.2475, 0.6130) x12
O (0.0845, 0.5856, 0.7500) x6

Summary:
* formation energy from raw total energies: -40.76 eV per formula unit
* total magnetic moment: 0.00 μB per cell